(1)
This record from the Alexandria database describes crystalline Zr6CoOs at its relaxed geometry. The functional is GGA-PBE.

Cell lengths 4.6267, 4.6264, 8.1926 Å; angles 73.60, 73.60, 90.00 degrees
Each line ends with the local moment (μB).
Fractional positions:
Zr1 0.7500 0.7499 0.5001  0.00
Zr2 0.6073 0.1074 0.7853  -0.02
Zr3 0.1074 0.6074 0.7853  -0.02
Zr4 0.3927 0.8926 0.2147  -0.02
Zr5 0.2500 0.2501 0.4999  0.00
Zr6 0.8926 0.3926 0.2147  -0.02
Co1 0.5000 0.5000 0.0000  1.13
Os1 0.0000 0.0000 0.0000  0.08

Crystal system   tetragonal

***

(2)
This record from the Alexandria database describes crystalline ZrCoOs at its relaxed geometry. The functional is GGA-PBE.

Cell lengths 4.1786, 7.0656, 6.5855 Å; angles 90.00, 90.00, 90.00 degrees
Each line ends with the local moment (μB).
Fractional positions:
Co1 0.2500 0.0843 0.7986  0.43
Co2 0.7500 0.9157 0.7986  0.43
Co3 0.7500 0.5843 0.2986  0.43
Co4 0.2500 0.4157 0.2986  0.43
Os1 0.2500 0.4051 0.9148  0.05
Os2 0.7500 0.5949 0.9148  0.05
Os3 0.7500 0.9051 0.4148  0.05
Os4 0.2500 0.0949 0.4148  0.05
Zr1 0.2500 0.8104 0.0948  -0.02
Zr2 0.7500 0.1896 0.0948  -0.02
Zr3 0.7500 0.3104 0.5948  -0.02
Zr4 0.2500 0.6896 0.5948  -0.02

Crystal system   orthorhombic
E above lowest polymorph   70 kJ/mol of formula units

***

(3)
This record from the Alexandria database describes crystalline Zr3Co8Os at its relaxed geometry. The functional is GGA-PBE.

Cell lengths 4.8555, 4.8555, 8.4277 Å; angles 73.26, 73.26, 60.00 degrees
Each line ends with the local moment (μB).
Fractional positions:
Zr1 0.6235 0.6235 0.1294  -0.35
Zr2 0.0085 0.0085 0.9744  -0.25
Zr3 0.4937 0.4937 0.5189  -0.22
Co1 0.5629 0.0623 0.8118  1.14
Co2 0.0614 0.5604 0.3168  1.21
Co3 0.5629 0.5629 0.8118  1.14
Co4 0.0614 0.0614 0.3168  1.21
Co5 0.8121 0.8121 0.5637  1.49
Co6 0.3118 0.3118 0.0645  1.08
Co7 0.0623 0.5629 0.8118  1.14
Co8 0.5604 0.0614 0.3168  1.21
Os1 0.1289 0.1289 0.6132  0.86

Crystal system   trigonal

***

Computed values of DFT formation energy (unit: kJ/mol of atoms) for the preceding records, in sequence: -19, -12, -20.